# 1
The following is a DFT calculation (PBE) of a relaxed ZrCrCd3 crystal.

Cell: 4.906 4.906 4.906 Å, 90.00 90.00 90.00°
Fractional coordinates of all 5 atoms:
Cr1 0.000 0.000 0.000
Zr1 0.500 0.500 0.500
Cd1 0.000 0.500 0.000
Cd2 0.000 0.000 0.500
Cd3 0.500 0.000 0.000

Values from the calculation:
For the electronic total energy, the calculation gives -3.1901 eV per atom. As for the symmetry: No. 221.

=====

# 2
The following is a DFT calculation (PBE) of a relaxed ZrCrCd4 crystal.

Cell: 5.620 5.620 5.620 Å, 60.00 60.00 60.00°
Last column: magnetic moment on the atom in μB.
Fractional coordinates of all 6 atoms:
Zr1 0.000 0.000 0.000  -0.84
Cr1 0.750 0.750 0.750  3.40
Cd1 0.874 0.375 0.375  -0.06
Cd2 0.375 0.375 0.874  -0.06
Cd3 0.375 0.874 0.375  -0.06
Cd4 0.375 0.375 0.375  -0.06

Values from the calculation:
For the electronic total energy, the calculation gives -3.3688 eV per atom. As for the symmetry: No. 216.

=====

# 3
The following is a DFT calculation (PBE) of a relaxed Zr2CrCd crystal.

Cell: 5.418 5.418 5.314 Å, 83.44 83.44 32.47°
Last column: magnetic moment on the atom in μB.
Fractional coordinates of all 4 atoms:
Cd1 0.250 0.250 0.250  -0.02
Cr1 0.750 0.750 0.750  3.31
Zr1 0.995 0.995 0.995  -0.05
Zr2 0.505 0.505 0.505  -0.05

Values from the calculation:
For the electronic total energy, the calculation gives -6.6084 eV per atom. As for the symmetry: No. 12.

=====

# 4
The following is a DFT calculation (PBE) of a relaxed Zr2CrCd crystal.

Cell: 4.081 4.081 10.437 Å, 78.73 78.73 90.00°
Fractional coordinates of all 8 atoms:
Cr1 0.500 0.500 0.000
Cr2 0.250 0.750 0.500
Zr1 0.611 0.125 0.250
Zr2 0.139 0.625 0.250
Zr3 0.375 0.389 0.750
Zr4 0.875 0.861 0.750
Cd1 0.000 0.000 0.000
Cd2 0.750 0.250 0.500

Values from the calculation:
For the electronic total energy, the calculation gives -6.0966 eV per atom. As for the symmetry: No. 122.

=====

# 5
The following is a DFT calculation (PBE) of a relaxed Zr2CrCd crystal.

Cell: 5.244 5.244 5.244 Å, 131.06 131.00 71.76°
Last column: magnetic moment on the atom in μB.
Fractional coordinates of all 4 atoms:
Cd1 0.750 0.250 0.500  -0.04
Cr1 0.250 0.750 0.500  2.81
Zr1 0.000 0.000 0.000  -0.37
Zr2 0.500 0.500 0.000  -0.37

Values from the calculation:
For the electronic total energy, the calculation gives -6.7537 eV per atom. As for the symmetry: No. 139.

=====

# 6
The following is a DFT calculation (PBE) of a relaxed Cs6Cd crystal.

Cell: 8.969 9.457 9.457 Å, 120.00 90.00 90.00°
Fractional coordinates of all 7 atoms:
Cs1 0.252 0.000 0.662
Cs2 0.748 0.000 0.338
Cs3 0.748 0.662 0.662
Cs4 0.252 0.662 0.000
Cs5 0.748 0.338 0.000
Cs6 0.252 0.338 0.338
Cd1 0.000 0.000 0.000

Values from the calculation:
For the electronic total energy, the calculation gives -0.8575 eV per atom. As for the symmetry: No. 162.

=====

# 7
The following is a DFT calculation (PBE) of a relaxed Cs2Cd5 crystal.

Cell: 4.991 7.492 9.046 Å, 122.86 90.00 109.46°
Fractional coordinates of all 7 atoms:
Cs1 0.136 0.271 0.259
Cs2 0.864 0.729 0.741
Cd1 0.336 0.672 0.081
Cd2 0.664 0.328 0.919
Cd3 0.122 0.244 0.696
Cd4 0.500 0.000 0.500
Cd5 0.878 0.756 0.304

Values from the calculation:
For the electronic total energy, the calculation gives -0.9592 eV per atom. As for the symmetry: No. 12.

=====

# 8
The following is a DFT calculation (PBE) of a relaxed CsCd4 crystal.

Cell: 7.384 7.384 7.384 Å, 90.00 90.00 90.00°
Fractional coordinates of all 5 atoms:
Cs1 0.500 0.500 0.500
Cd1 0.000 0.000 0.000
Cd2 0.500 0.000 0.500
Cd3 0.000 0.500 0.500
Cd4 0.500 0.500 0.000

Values from the calculation:
For the electronic total energy, the calculation gives -0.3540 eV per atom. As for the symmetry: No. 221.

=====

# 9
The following is a DFT calculation (PBE) of a relaxed Cs3Cd crystal.

Cell: 5.283 5.025 13.296 Å, 90.00 90.00 90.00°
Fractional coordinates of all 4 atoms:
Cs1 0.000 0.500 0.454
Cs2 0.500 0.500 0.119
Cs3 0.500 0.000 0.768
Cd1 0.000 0.000 0.992

Values from the calculation:
For the electronic total energy, the calculation gives -0.8110 eV per atom. As for the symmetry: No. 25.

=====

# 10
The following is a DFT calculation (PBE) of a relaxed CsCd6 crystal.

Cell: 7.049 7.049 7.049 Å, 109.47 109.47 109.47°
Fractional coordinates of all 7 atoms:
Cs1 0.000 0.000 0.000
Cd1 0.250 0.750 0.500
Cd2 0.500 0.750 0.250
Cd3 0.250 0.500 0.750
Cd4 0.750 0.250 0.500
Cd5 0.500 0.250 0.750
Cd6 0.750 0.500 0.250

Values from the calculation:
For the electronic total energy, the calculation gives -0.8212 eV per atom. As for the symmetry: No. 229.

=====

Calculated density in order - 6.76; 7.85; 6.93; 6.90; 7.17; 2.17; 5.27; 2.40; 2.40; 4.97 g/cm³